Record 1
A geometry-optimized Li2CaH6Ir structure. Source: Alexandria, functional PBE-GGA.

**E**: -3.864 eV/atom
**Mass density**: 4.23 g/cm³
**SG**: P2_1/c, No. 14

Cell: 5.100 4.452 9.248 Å, 90.00 109.34 90.00°
Positions (direct):
Li 0.084 0.936 0.224
Li 0.584 0.564 0.724
Li 0.916 0.064 0.776
Li 0.416 0.436 0.276
Ca 0.500 0.000 0.000
Ca 0.000 0.500 0.500
H 0.271 0.704 0.109
H 0.771 0.796 0.609
H 0.729 0.296 0.891
H 0.229 0.204 0.391
H 0.321 0.708 0.401
H 0.821 0.792 0.901
H 0.679 0.292 0.599
H 0.179 0.208 0.099
H 0.838 0.557 0.137
H 0.338 0.943 0.637
H 0.162 0.443 0.863
H 0.662 0.057 0.363
Ir 0.500 0.000 0.500
Ir 0.000 0.500 0.000

Record 2
A geometry-optimized LiCa3H6Ir2 structure. Source: Alexandria, functional PBE-GGA.

**E**: -4.284 eV/atom
**Mass density**: 6.10 g/cm³
**SG**: P-3m1, No. 164

Cell: 5.115 5.115 6.214 Å, 90.00 90.00 120.00°
Positions (direct):
Li 0.000 0.000 0.500
Ca 0.333 0.667 0.682
Ca 0.667 0.333 0.318
Ca 0.000 0.000 0.000
H 0.654 0.827 0.312
H 0.173 0.346 0.312
H 0.173 0.827 0.312
H 0.827 0.654 0.688
H 0.346 0.173 0.688
H 0.827 0.173 0.688
Ir 0.667 0.333 0.843
Ir 0.333 0.667 0.157

Record 3
A geometry-optimized Ca2MgH6Ir structure. Source: Alexandria, functional PBE-GGA.

**E**: -3.861 eV/atom
**Mass density**: 3.61 g/cm³
**SG**: P-3m1, No. 164

Cell: 7.053 4.772 4.772 Å, 120.00 90.00 90.00°
Positions (direct):
Ca 0.198 0.333 0.667
Ca 0.802 0.667 0.333
Mg 0.500 0.000 0.000
H 0.862 0.166 0.333
H 0.862 0.166 0.834
H 0.862 0.667 0.834
H 0.138 0.834 0.166
H 0.138 0.333 0.166
H 0.138 0.834 0.667
Ir 0.000 0.000 0.000

Record 4
A geometry-optimized CaMgH8Ir2 structure. Source: Alexandria, functional PBE-GGA.

**E**: -4.217 eV/atom
**Mass density**: 6.68 g/cm³
**SG**: R-3, No. 148

Cell: 4.884 4.884 6.177 Å, 66.72 66.72 60.00°
Positions (direct):
Ca 0.500 0.500 0.500
Mg 0.000 0.000 0.000
H 0.195 0.195 0.415
H 0.586 0.355 0.155
H 0.805 0.805 0.585
H 0.904 0.586 0.155
H 0.096 0.414 0.845
H 0.355 0.904 0.155
H 0.645 0.096 0.845
H 0.414 0.645 0.845
Ir 0.296 0.296 0.111
Ir 0.704 0.704 0.889

Record 5
A geometry-optimized CaMnHIr2 structure. Source: Alexandria, functional PBE-GGA.

**E**: -6.402 eV/atom
**Mass density**: 11.61 g/cm³
**SG**: P4/mmm, No. 123

Cell: 4.167 3.958 4.167 Å, 90.00 90.00 90.00°
Site moments in Bohr magnetons follow the coordinates.
Positions (direct):
H 0.000 0.000 0.000  -0.01
Ca 0.500 0.500 0.500  0.02
Ir 0.000 0.000 0.500  0.15
Ir 0.500 0.000 0.000  0.06
Mn 0.000 0.500 0.000  3.63

Record 6
A geometry-optimized CaMnH8Ir2 structure. Source: Alexandria, functional PBE-GGA.

**E**: -4.787 eV/atom
**Mass density**: 7.90 g/cm³
**SG**: R-3m, No. 166

Cell: 4.653 4.653 6.093 Å, 67.55 67.55 60.00°
Site moments in Bohr magnetons follow the coordinates.
Positions (direct):
Ca 0.500 0.500 0.500  0.02
Mn 0.000 0.000 0.000  3.25
H 0.188 0.188 0.435  0.00
H 0.628 0.057 0.259  -0.01
H 0.812 0.812 0.565  0.00
H 0.056 0.628 0.259  -0.01
H 0.944 0.372 0.741  -0.01
H 0.057 0.056 0.259  -0.01
H 0.943 0.944 0.741  -0.01
H 0.372 0.943 0.741  -0.01
Ir 0.286 0.286 0.142  0.21
Ir 0.714 0.714 0.858  0.21

Record 7
A geometry-optimized CaMo2HIr structure. Source: Alexandria, functional PBE-GGA.

**E**: -5.285 eV/atom
**Mass density**: 9.10 g/cm³
**SG**: P4/mmm, No. 123

Cell: 5.040 3.054 5.040 Å, 90.00 90.00 90.00°
Site moments in Bohr magnetons follow the coordinates.
Positions (direct):
H 0.000 0.500 0.000  0.00
Mo 0.000 0.000 0.500  0.22
Mo 0.500 0.000 0.000  0.34
Ir 0.500 0.500 0.500  -0.02
Ca 0.000 0.000 0.000  0.04

Record 8
A geometry-optimized CaH2IrN structure. Source: Alexandria, functional PBE-GGA.

**E**: -5.577 eV/atom
**Mass density**: 7.80 g/cm³
**SG**: P4/mmm, No. 123

Cell: 3.664 3.664 3.938 Å, 90.00 90.00 90.00°
Positions (direct):
H 0.000 0.500 0.000
H 0.500 0.000 0.000
Ca 0.500 0.500 0.500
Ir 0.000 0.000 0.000
N 0.000 0.000 0.500

Record 9
A geometry-optimized Na2CaH8Ir structure. Source: Alexandria, functional PBE-GGA.

**E**: -3.564 eV/atom
**Mass density**: 3.61 g/cm³
**SG**: P-3m1, No. 164

Cell: 5.020 5.020 6.040 Å, 90.00 90.00 120.00°
Site moments in Bohr magnetons follow the coordinates.
Positions (direct):
Na 0.667 0.333 0.129  0.01
Na 0.333 0.667 0.871  0.01
Ca 0.000 0.000 0.500  0.01
H 0.845 0.691 0.832  0.01
H 0.309 0.155 0.832  0.01
H 0.845 0.155 0.832  0.01
H 0.155 0.309 0.168  0.01
H 0.691 0.845 0.168  0.01
H 0.155 0.845 0.168  0.01
H 0.667 0.333 0.512  0.17
H 0.333 0.667 0.488  0.17
Ir 0.000 0.000 0.000  0.13

Record 10
A geometry-optimized NaCaH6Ir structure. Source: Alexandria, functional PBE-GGA.

**E**: -4.149 eV/atom
**Mass density**: 4.71 g/cm³
**SG**: F-43m, No. 216

Cell: 5.071 5.071 5.071 Å, 60.00 60.00 60.00°
Site moments in Bohr magnetons follow the coordinates.
Positions (direct):
Na 0.250 0.250 0.250  0.00
Ca 0.750 0.750 0.750  0.00
H 0.765 0.235 0.235  0.00
H 0.235 0.765 0.235  0.00
H 0.765 0.765 0.235  0.00
H 0.235 0.765 0.765  0.00
H 0.765 0.235 0.765  0.00
H 0.235 0.235 0.765  0.00
Ir 0.000 0.000 0.000  0.12

Record 11
A geometry-optimized CaNiH8Ir2 structure. Source: Alexandria, functional PBE-GGA.

**E**: -4.504 eV/atom
**Mass density**: 7.95 g/cm³
**SG**: R-3, No. 148

Cell: 4.569 4.569 6.261 Å, 68.60 68.60 60.00°
Positions (direct):
Ca 0.500 0.500 0.500
Ni 0.000 0.000 0.000
H 0.193 0.193 0.422
H 0.651 0.231 0.188
H 0.807 0.807 0.578
H 0.930 0.651 0.188
H 0.070 0.349 0.812
H 0.231 0.930 0.188
H 0.769 0.070 0.812
H 0.349 0.769 0.812
Ir 0.287 0.287 0.138
Ir 0.713 0.713 0.862

Record 12
A geometry-optimized Ca2HIrO structure. Source: Alexandria, functional PBE-GGA.

**E**: -4.918 eV/atom
**Mass density**: 6.32 g/cm³
**SG**: P4/mmm, No. 123

Cell: 4.973 3.073 4.973 Å, 90.00 90.00 90.00°
Positions (direct):
H 0.000 0.500 0.000
Ca 0.000 0.000 0.500
Ca 0.500 0.000 0.000
Ir 0.500 0.500 0.500
O 0.000 0.000 0.000

Record 13
A geometry-optimized Ca2H2IrO6 structure. Source: Alexandria, functional PBE-GGA.

**E**: -5.840 eV/atom
**Mass density**: 5.55 g/cm³
**SG**: R-3m, No. 166

Cell: 5.089 5.089 5.750 Å, 63.74 63.74 60.00°
Site moments in Bohr magnetons follow the coordinates.
Positions (direct):
Ca 0.777 0.777 0.669  0.01
Ca 0.223 0.223 0.331  0.01
H 0.410 0.410 0.770  0.00
H 0.590 0.590 0.230  0.00
Ir 0.000 0.000 0.000  0.44
O 0.745 0.745 0.246  0.06
O 0.264 0.745 0.246  0.06
O 0.745 0.264 0.246  0.06
O 0.255 0.736 0.754  0.06
O 0.736 0.255 0.754  0.06
O 0.255 0.255 0.754  0.06

Record 14
A geometry-optimized CaH8Ir2Pd structure. Source: Alexandria, functional PBE-GGA.

**E**: -4.434 eV/atom
**Mass density**: 8.11 g/cm³
**SG**: R-3, No. 148

Cell: 4.772 4.772 6.235 Å, 67.50 67.50 60.00°
Positions (direct):
Ca 0.500 0.500 0.500
H 0.191 0.191 0.426
H 0.618 0.272 0.184
H 0.809 0.809 0.574
H 0.925 0.618 0.184
H 0.075 0.382 0.816
H 0.272 0.925 0.184
H 0.728 0.075 0.816
H 0.382 0.728 0.816
Ir 0.287 0.287 0.138
Ir 0.713 0.713 0.862
Pd 0.000 0.000 0.000

Record 15
A geometry-optimized CaH8IrPd2 structure. Source: Alexandria, functional PBE-GGA.

**E**: -4.176 eV/atom
**Mass density**: 7.03 g/cm³
**SG**: C2/m, No. 12

Cell: 4.464 4.462 6.028 Å, 72.33 72.43 74.72°
Positions (direct):
Ca 0.000 0.000 0.500
H 0.130 0.672 0.213
H 0.777 0.778 0.954
H 0.673 0.131 0.213
H 0.870 0.328 0.787
H 0.223 0.222 0.046
H 0.327 0.869 0.787
H 0.638 0.639 0.491
H 0.362 0.361 0.509
Ir 0.000 0.000 0.000
Pd 0.445 0.444 0.761
Pd 0.555 0.556 0.239

Record 16
A geometry-optimized CaHIrPd2 structure. Source: Alexandria, functional PBE-GGA.

**E**: -5.166 eV/atom
**Mass density**: 10.39 g/cm³
**SG**: P4/mmm, No. 123

Cell: 4.321 4.321 3.819 Å, 90.00 90.00 90.00°
Positions (direct):
H 0.000 0.000 0.000
Ca 0.500 0.500 0.500
Ir 0.000 0.000 0.500
Pd 0.000 0.500 0.000
Pd 0.500 0.000 0.000

Record 17
A geometry-optimized Ca2PrH8Ir structure. Source: Alexandria, functional PBE-GGA.

**E**: -4.138 eV/atom
**Mass density**: 4.93 g/cm³
**SG**: P-3m1, No. 164

Cell: 4.757 4.757 7.247 Å, 90.00 90.00 120.00°
Positions (direct):
Ca 0.667 0.333 0.158
Ca 0.333 0.667 0.842
Pr 0.000 0.000 0.500
H 0.838 0.675 0.852
H 0.325 0.162 0.852
H 0.838 0.162 0.852
H 0.162 0.325 0.148
H 0.675 0.838 0.148
H 0.162 0.838 0.148
H 0.667 0.333 0.465
H 0.333 0.667 0.535
Ir 0.000 0.000 0.000

Record 18
A geometry-optimized Ca2H6IrPt structure. Source: Alexandria, functional PBE-GGA.

**E**: -4.466 eV/atom
**Mass density**: 7.67 g/cm³
**SG**: C2/m, No. 12

Cell: 5.196 5.196 5.280 Å, 119.39 119.39 90.05°
Positions (direct):
Ca 0.750 0.250 0.500
Ca 0.250 0.751 0.500
H 0.758 0.759 0.002
H 0.769 0.769 0.536
H 0.241 0.242 0.997
H 0.757 0.243 0.000
H 0.231 0.232 0.464
H 0.242 0.758 0.000
Ir 0.000 0.000 0.000
Pt 0.500 0.500 0.000

Record 19
A geometry-optimized Ca2HIrPt structure. Source: Alexandria, functional PBE-GGA.

**E**: -4.996 eV/atom
**Mass density**: 9.17 g/cm³
**SG**: P4/mmm, No. 123

Cell: 4.817 4.817 3.655 Å, 90.00 90.00 90.00°
Positions (direct):
H 0.000 0.000 0.000
Ca 0.000 0.500 0.000
Ca 0.500 0.000 0.000
Ir 0.000 0.000 0.500
Pt 0.500 0.500 0.500

Record 20
A geometry-optimized CaH8Ir2Pt structure. Source: Alexandria, functional PBE-GGA.

**E**: -4.485 eV/atom
**Mass density**: 9.21 g/cm³
**SG**: R-3, No. 148

Cell: 4.804 4.804 6.305 Å, 67.61 67.61 60.00°
Positions (direct):
Ca 0.500 0.500 0.500
H 0.189 0.189 0.432
H 0.628 0.210 0.210
H 0.811 0.811 0.568
H 0.952 0.628 0.210
H 0.048 0.372 0.790
H 0.210 0.952 0.210
H 0.790 0.048 0.790
H 0.372 0.790 0.790
Ir 0.284 0.284 0.149
Ir 0.716 0.716 0.851
Pt 0.000 0.000 0.000